(1)
This record from Alexandria via LeMat-Bulk describes Pr2Ge2Rh5 after structural relaxation. The functional is PBE.

POSCAR file:
```
Pr2Ge2Rh5
1.0
4.248 0.000 0.000
0.000 4.248 0.000
0.000 0.000 9.127
Pr Ge Rh
2 2 5
Direct
0.000 0.000 0.000
0.000 0.000 0.500
0.500 0.500 0.144
0.500 0.500 0.856
0.500 0.000 0.270
0.500 0.000 0.730
0.500 0.500 0.500
0.000 0.500 0.270
0.000 0.500 0.730
```

Properties
* energy relative to the elements: -0.67 eV/atom
* D(E_F): 0.7037 states/eV per atom

(2)
This record from Alexandria via LeMat-Bulk describes Nd12Tm5Sc after structural relaxation. The functional is PBE.

POSCAR file:
```
Nd12Tm5Sc
1.0
-4.227 -13.280 6.084
2.024 -10.366 -2.247
4.075 0.124 3.101
Nd Tm Sc
12 5 1
Direct
0.838 0.000 0.500
0.162 0.000 0.500
0.665 0.000 0.000
0.335 0.000 0.000
0.329 0.669 0.000
0.003 0.669 0.000
0.997 0.331 0.000
0.671 0.331 0.000
0.498 0.334 0.500
0.832 0.666 0.500
0.168 0.334 0.500
0.502 0.666 0.500
0.500 0.000 0.500
0.166 0.669 0.500
0.834 0.331 0.500
0.666 0.668 0.000
0.334 0.332 0.000
0.000 0.000 0.000
```

Properties
* energy relative to the elements: 0.03 eV/atom
* D(E_F): 1.6042 states/eV per atom

(3)
This record from Alexandria via LeMat-Bulk describes Ca2BeSb after structural relaxation. The functional is PBE.

POSCAR file:
```
Ca2BeSb
1.0
5.289 0.000 0.000
2.644 4.580 0.000
2.644 1.527 4.318
Sb Ca Be
1 2 1
Direct
0.750 0.750 0.750
0.000 0.000 0.000
0.250 0.250 0.250
0.500 0.500 0.500
```

Properties
* D(E_F): 0.6514 states/eV per atom
* E_form (uncorrected): 0.20 eV/atom
* ΔE to the lowest computed polymorph: 620 meV per atom

(4)
This record from Alexandria via LeMat-Bulk describes Sr2HfOsO8 after structural relaxation. The functional is PBE.

POSCAR file:
```
Sr2HfOsO8
1.0
5.353 -0.098 -0.003
-0.074 5.348 -0.006
0.003 0.008 6.517
Sr Hf Os O
2 1 1 8
Direct
0.500 0.500 0.750
0.500 0.500 0.250
0.000 0.000 0.500
0.000 0.000 0.000
0.165 0.834 0.219
0.753 0.754 0.000
0.835 0.166 0.219
0.835 0.166 0.781
0.247 0.246 0.000
0.165 0.834 0.781
0.733 0.734 0.500
0.267 0.266 0.500
```

Properties
* D(E_F): 0.7224 states/eV per atom
* E_form (uncorrected): -2.08 eV/atom

Number 1: E_tot -6.846 eV per atom. Number 2: E_tot -4.740 eV per atom. Number 3: E_tot -2.759 eV per atom. Number 4: E_tot -7.431 eV per atom.